Entry 1:
LiPr2Tl | PBE | optimized geometry

Properties
Total energy in eV per cell: -14.46

Structure (POSCAR):
```
LiPr2Tl
1.0
3.8703 0.0000 0.0000
0.0000 3.8703 0.0000
0.0000 0.0000 7.8701
Li Pr Tl
1 2 1
direct
0.0000 0.0000 0.0000 Li
0.5000 0.5000 0.2458 Pr
0.5000 0.5000 0.7542 Pr
0.0000 0.0000 0.5000 Tl
```

Entry 2:
LiPr2Tl | PBE | optimized geometry

Properties
Total energy in eV per cell: -14.65

Structure (POSCAR):
```
LiPr2Tl
1.0
5.0358 0.0000 0.0000
0.0000 5.0358 0.0000
0.0000 0.0000 4.5320
Li Pr Tl
1 2 1
direct
0.0000 0.0000 0.0000 Li
0.0000 0.5000 0.5000 Pr
0.5000 0.0000 0.5000 Pr
0.5000 0.5000 0.0000 Tl
```

Entry 3:
Li5Pr3Tl6 | PBE | optimized geometry

Properties
Total energy in eV per cell: -84.36

Structure (POSCAR):
```
Li5Pr3Tl6
1.0
4.9390 0.0000 0.0000
0.0000 14.6553 0.0000
0.0000 0.0000 9.4165
Li Pr Tl
10 6 12
direct
0.2500 0.0943 0.1055 Li
0.2500 0.4057 0.1055 Li
0.2500 0.6186 0.4587 Li
0.2500 0.7500 0.2257 Li
0.2500 0.8814 0.4587 Li
0.7500 0.1186 0.5413 Li
0.7500 0.2500 0.7743 Li
0.7500 0.3814 0.5413 Li
0.7500 0.5943 0.8945 Li
0.7500 0.9057 0.8945 Li
0.2500 0.0346 0.7408 Pr
0.2500 0.4654 0.7408 Pr
0.2500 0.7500 0.7710 Pr
0.7500 0.2500 0.2290 Pr
0.7500 0.5346 0.2592 Pr
0.7500 0.9654 0.2592 Pr
0.2500 0.0971 0.3869 Tl
0.2500 0.2500 0.6045 Tl
0.2500 0.2500 0.9503 Tl
0.2500 0.4029 0.3869 Tl
0.2500 0.5947 0.0436 Tl
0.2500 0.9053 0.0436 Tl
0.7500 0.0947 0.9564 Tl
0.7500 0.4053 0.9564 Tl
0.7500 0.5971 0.6131 Tl
0.7500 0.7500 0.0497 Tl
0.7500 0.7500 0.3955 Tl
0.7500 0.9029 0.6131 Tl
```

Entry 4:
Li4Pr5Tl4 | PBE | optimized geometry

Properties
Total energy in eV per cell: -44.43

Structure (POSCAR):
```
Li4Pr5Tl4
1.0
-6.1631 6.1631 2.3732
6.1631 -6.1631 2.3732
6.1631 6.1631 -2.3732
Li Pr Tl
4 5 4
direct
0.0682 0.6007 0.6688 Li
0.3993 0.0682 0.4675 Li
0.6007 0.9318 0.5325 Li
0.9318 0.3993 0.3312 Li
0.1302 0.2086 0.3388 Pr
0.2086 0.8698 0.0784 Pr
0.5000 0.5000 0.0000 Pr
0.7914 0.1302 0.9216 Pr
0.8698 0.7914 0.6612 Pr
0.2403 0.4457 0.6860 Tl
0.4457 0.7597 0.2054 Tl
0.5543 0.2403 0.7946 Tl
0.7597 0.5543 0.3140 Tl
```

Entry 5:
Li4Pr9Tl11 | PBE | optimized geometry

Properties
Total energy in eV per cell: -84.10

Structure (POSCAR):
```
Li4Pr9Tl11
1.0
7.9640 -11.6069 0.0000
7.9640 11.6069 0.0000
0.0000 0.0000 3.5788
Li Pr Tl
4 9 11
direct
0.0420 0.2433 0.0000 Li
0.2433 0.0420 0.0000 Li
0.7567 0.9580 0.0000 Li
0.9580 0.7567 0.0000 Li
0.0000 0.0000 0.0000 Pr
0.1359 0.6387 0.0000 Pr
0.2818 0.4327 0.0000 Pr
0.3613 0.8641 0.0000 Pr
0.4327 0.2818 0.0000 Pr
0.5673 0.7182 0.0000 Pr
0.6387 0.1359 0.0000 Pr
0.7182 0.5673 0.0000 Pr
0.8641 0.3613 0.0000 Pr
0.0765 0.4185 0.5000 Tl
0.1393 0.8607 0.5000 Tl
0.1967 0.1967 0.5000 Tl
0.3464 0.6536 0.5000 Tl
0.4185 0.0765 0.5000 Tl
0.5000 0.5000 0.5000 Tl
0.5815 0.9235 0.5000 Tl
0.6536 0.3464 0.5000 Tl
0.8033 0.8033 0.5000 Tl
0.8607 0.1393 0.5000 Tl
0.9235 0.5815 0.5000 Tl
```

Entry 6:
Li4Pr3Tl4 | PBE | optimized geometry

Properties
Distance to the lowest polymorph of the same formula in kJ per mole of atoms: 0.0

Structure (POSCAR):
```
Li4Pr3Tl4
1.0
3.5825 0.0000 0.0000
0.0004 5.0168 0.0000
1.7903 2.4913 15.6265
Li Pr Tl
4 3 4
direct
0.0925 0.0925 0.3132 Li
0.2401 0.7405 0.0183 Li
0.7599 0.2595 0.9817 Li
0.9075 0.9075 0.6868 Li
0.3566 0.3573 0.7873 Pr
0.5000 0.0000 0.5000 Pr
0.6434 0.6427 0.2127 Pr
0.0509 0.5506 0.3977 Tl
0.1862 0.1850 0.1280 Tl
0.8138 0.8150 0.8720 Tl
0.9491 0.4494 0.6023 Tl
```